# 1
The following is a PBE-GGA calculation of crystalline Ho8Ag3Bi2 at its relaxed geometry, from Alexandria via LeMat-Bulk.

```
Ho8Ag3Bi2
1.0
7.521 -4.079 0.000
7.521 4.079 0.000
-0.209 0.000 6.240
Ho Ag Bi
8 3 2
direct
0.086 0.086 0.362 Ho
0.098 0.685 0.146 Ho
0.315 0.902 0.854 Ho
0.321 0.321 0.613 Ho
0.679 0.679 0.387 Ho
0.685 0.098 0.146 Ho
0.902 0.315 0.854 Ho
0.914 0.914 0.638 Ho
0.329 0.671 0.500 Ag
0.500 0.500 0.000 Ag
0.671 0.329 0.500 Ag
0.259 0.259 0.109 Bi
0.741 0.741 0.891 Bi
```

Results
Symmetry: No. 12
Formation enthalpy at 0 K (eV per formula unit): -2.50
D(E_F) (states/eV/cell): 13.6



# 2
The following is a PBE-GGA calculation of crystalline PrNd5Hg2 at its relaxed geometry, from Alexandria via LeMat-Bulk.

```
PrNd5Hg2
1.0
3.811 0.000 0.000
0.000 10.743 0.000
0.000 0.000 12.545
Pr Nd Hg
2 10 4
direct
0.000 0.000 0.000 Pr
0.500 0.500 0.500 Pr
0.000 0.219 0.361 Nd
0.000 0.219 0.639 Nd
0.000 0.500 0.000 Nd
0.000 0.781 0.361 Nd
0.000 0.781 0.639 Nd
0.500 0.000 0.500 Nd
0.500 0.281 0.139 Nd
0.500 0.281 0.861 Nd
0.500 0.719 0.139 Nd
0.500 0.719 0.861 Nd
0.000 0.500 0.269 Hg
0.000 0.500 0.731 Hg
0.500 0.000 0.231 Hg
0.500 0.000 0.769 Hg
```

Results
Symmetry: No. 71
Formation enthalpy at 0 K (eV per formula unit): -1.34
D(E_F) (states/eV/cell): 16.9



- Look up the formation enthalpy at 0 K of the first one.
  -2.50 eV per formula unit